No. 1
A relaxed NaHPd2 crystal. Source: Alexandria via LeMat-Bulk, functional PBE-GGA.

Output
**Offset from the most stable computed form**: 0.1175 eV per atom

Cell lengths 4.837, 8.193, 5.578 Å; angles 90.00, 90.00, 90.00 degrees
Space group Cmmm (No. 65)
Unique sites:
1 Na 0.000 0.000 0.000 [2 per cell]
2 Na 0.000 0.000 0.500 [2 per cell]
3 H 0.250 0.250 0.000 [4 per cell]
4 Pd 0.000 0.330 0.250 [8 per cell]

No. 2
A relaxed IrBr crystal. Source: Alexandria via LeMat-Bulk, functional PBE-GGA.

Output
**Energy relative to the elements, uncorrected**: 1.2425 eV per atom
**Offset from the most stable computed form**: 0.9758 eV per atom

Cell lengths 3.0325, 3.0325, 4.4022 Å; angles 90.00, 90.00, 120.00 degrees
Space group P-6m2 (No. 187)
Unique sites:
1 Ir 0.0000 0.0000 0.0000 [1 per cell]
2 Br 0.3333 0.6667 0.5000 [1 per cell]

No. 3
A relaxed Sr4PrCd5 crystal. Source: Alexandria via LeMat-Bulk, functional PBE-GGA.

Output
**E_form**: -327 meV/atom

Cell lengths 4.008, 4.008, 20.217 Å; angles 90.00, 90.00, 90.00 degrees
Space group P4/mmm (No. 123)
Unique sites:
1 Sr 0.000 0.000 0.102 [2 per cell]
2 Sr 0.000 0.000 0.306 [2 per cell]
3 Pr 0.000 0.000 0.500 [1 per cell]
4 Cd 0.500 0.500 0.000 [1 per cell]
5 Cd 0.500 0.500 0.204 [2 per cell]
6 Cd 0.500 0.500 0.410 [2 per cell]

No. 4
A relaxed Li2PrSn2Hg2 crystal. Source: Alexandria via LeMat-Bulk, functional PBE-GGA.

Output
**E_form**: -441 meV/atom

Cell lengths 4.7091, 4.7091, 25.5858 Å; angles 90.00, 90.00, 120.00 degrees
Space group R-3m (No. 166, hexagonal axes)
Unique sites:
1 Li 0.0000 0.0000 0.1423 [6 per cell]
2 Pr 0.0000 0.0000 0.0000 [3 per cell]
3 Sn 0.0000 0.0000 0.2629 [6 per cell]
4 Hg 0.0000 0.0000 0.4421 [6 per cell]

Listing size of the total moment for the structures above in their given order: 0.0, 0.0, 0.2, 0.0 μB per formula unit.